1.
Compound: Ba4LiGe4O12
Source: Alexandria
Functional: PBE
Structure: relaxed

a = 4.830 Å, b = 5.770 Å, c = 13.161 Å
α = 88.79°, β = 87.93°, γ = 90.12°
Atoms (fractional coordinates):
Ge: 0.787 0.169 0.580
Ge: 0.304 0.303 0.436
Ge: 0.235 0.754 0.904
Ge: 0.708 0.778 0.076
O: 0.234 0.111 0.340
O: 0.363 0.680 0.051
O: 0.164 0.216 0.565
O: 0.871 0.699 0.955
O: 0.676 0.283 0.458
O: 0.804 0.614 0.184
O: 0.162 0.968 0.798
O: 0.266 0.480 0.837
O: 0.736 0.083 0.088
O: 0.673 0.328 0.683
O: 0.739 0.870 0.578
O: 0.245 0.598 0.419
Ba: 0.209 0.297 0.155
Ba: 0.244 0.701 0.639
Ba: 0.765 0.801 0.365
Ba: 0.768 0.261 0.885
Li: 0.310 0.235 0.737

Total energy in eV/atom: -6.3231
Magnetization in μB per formula unit: 0.966
D(E_F) in states/eV per cell: 2.3
Formation energy without anion corrections in kJ/mol of atoms: -207.7
SG: P1 (1)

2.
Compound: BaLiGeP2
Source: Alexandria
Functional: PBE
Structure: relaxed

a = 4.547 Å, b = 6.586 Å, c = 8.930 Å
α = 100.30°, β = 90.00°, γ = 110.19°
Atoms (fractional coordinates):
P: 0.611 0.221 0.307
P: 0.128 0.255 0.933
P: 0.872 0.745 0.067
P: 0.389 0.779 0.693
Li: 0.337 0.675 0.945
Li: 0.663 0.325 0.055
Ge: 0.939 0.878 0.812
Ge: 0.061 0.122 0.188
Ba: 0.662 0.324 0.680
Ba: 0.338 0.676 0.320

ΔH_f (0 K) in meV/atom: -582.5
Total energy in eV/atom: -4.4373
Magnetization in μB per formula unit: 0.000
D(E_F) in states/eV per cell: 2.5
SG: C2/m (12)

3.
Compound: Ba2LiGe3Pd4
Source: Alexandria
Functional: PBE
Structure: relaxed

a = 4.490 Å, b = 4.490 Å, c = 10.625 Å
α = 90.00°, β = 90.00°, γ = 90.00°
Atoms (fractional coordinates):
Pd: 0.500 0.000 0.629
Pd: 0.500 0.500 0.000
Pd: 0.000 0.500 0.371
Pd: 0.000 0.000 0.000
Ge: 0.000 0.000 0.500
Ge: 0.000 0.500 0.117
Ge: 0.500 0.000 0.883
Li: 0.500 0.500 0.500
Ba: 0.500 0.000 0.253
Ba: 0.000 0.500 0.747

ΔH_f (0 K) in meV/atom: -648.9
Total energy in eV/atom: -4.6872
Magnetization in μB per formula unit: 0.000
D(E_F) in states/eV per cell: 5.5
SG: P-4m2 (115)

4.
Compound: BaLi2GePd2
Source: Alexandria
Functional: PBE
Structure: relaxed

a = 4.800 Å, b = 4.800 Å, c = 6.511 Å
α = 90.00°, β = 90.00°, γ = 90.00°
Atoms (fractional coordinates):
Ba: 0.000 0.000 0.500
Pd: 0.000 0.500 0.000
Pd: 0.500 0.000 0.000
Li: 0.500 0.500 0.801
Li: 0.500 0.500 0.199
Ge: 0.000 0.000 0.000

ΔH_f (0 K) in meV/atom: -381.9
Total energy in eV/atom: -3.8408
Magnetization in μB per formula unit: 0.395
D(E_F) in states/eV per cell: 2.7
SG: P4/mmm (123)

5.
Compound: Ba2LiGe4Pd3
Source: Alexandria
Functional: PBE
Structure: relaxed

a = 4.577 Å, b = 4.577 Å, c = 10.343 Å
α = 90.00°, β = 90.00°, γ = 90.00°
Atoms (fractional coordinates):
Ge: 0.500 0.000 0.624
Ge: 0.000 0.500 0.376
Ge: 0.000 0.000 0.000
Ge: 0.500 0.500 0.000
Li: 0.500 0.500 0.500
Ba: 0.500 0.000 0.250
Ba: 0.000 0.500 0.750
Pd: 0.500 0.000 0.876
Pd: 0.000 0.000 0.500
Pd: 0.000 0.500 0.124

ΔH_f (0 K) in meV/atom: -578.4
Total energy in eV/atom: -4.5591
Magnetization in μB per formula unit: 0.000
D(E_F) in states/eV per cell: 5.5
SG: P-4m2 (115)

6.
Compound: BaLiGe2Pd
Source: Alexandria
Functional: PBE
Structure: relaxed

a = 4.654 Å, b = 4.654 Å, c = 6.033 Å
α = 112.69°, β = 112.69°, γ = 90.00°
Atoms (fractional coordinates):
Ge: 0.624 0.624 0.248
Ge: 0.376 0.376 0.752
Ba: 0.000 0.000 0.000
Li: 0.250 0.750 0.500
Pd: 0.750 0.250 0.500

ΔH_f (0 K) in meV/atom: -543.4
Total energy in eV/atom: -4.1962
Magnetization in μB per formula unit: 0.000
D(E_F) in states/eV per cell: 2.6
SG: I-4m2 (119)

7.
Compound: BaLi2GePd
Source: Alexandria
Functional: PBE
Structure: relaxed

a = 5.003 Å, b = 5.003 Å, c = 4.812 Å
α = 90.00°, β = 90.00°, γ = 90.00°
Atoms (fractional coordinates):
Pd: 0.000 0.000 0.000
Ge: 0.000 0.000 0.500
Li: 0.000 0.500 0.000
Li: 0.500 0.000 0.000
Ba: 0.500 0.500 0.500

ΔH_f (0 K) in meV/atom: -380.7
Total energy in eV/atom: -3.4928
Magnetization in μB per formula unit: 0.000
D(E_F) in states/eV per cell: 2.7
SG: P4/mmm (123)

8.
Compound: BaLi2GePd
Source: Alexandria
Functional: PBE
Structure: relaxed

a = 4.913 Å, b = 4.913 Å, c = 4.964 Å
α = 90.00°, β = 90.00°, γ = 90.00°
Atoms (fractional coordinates):
Ba: 0.500 0.500 0.500
Li: 0.000 0.500 0.000
Li: 0.500 0.000 0.000
Pd: 0.000 0.000 0.500
Ge: 0.000 0.000 0.000

ΔH_f (0 K) in meV/atom: -361.4
Total energy in eV/atom: -3.4735
Magnetization in μB per formula unit: 0.000
D(E_F) in states/eV per cell: 1.9
SG: P4/mmm (123)

9.
Compound: BaLiPrGe
Source: Alexandria
Functional: PBE
Structure: relaxed

a = 5.517 Å, b = 5.517 Å, c = 5.517 Å
α = 60.00°, β = 60.00°, γ = 60.00°
Atoms (fractional coordinates):
Pr: 0.000 0.000 0.000
Ge: 0.250 0.250 0.250
Ba: 0.500 0.500 0.500
Li: 0.750 0.750 0.750

ΔH_f (0 K) in meV/atom: -247.0
Total energy in eV/atom: -3.5554
Magnetization in μB per formula unit: 0.000
D(E_F) in states/eV per cell: 2.3
SG: F-43m (216)

10.
Compound: BaLi2PrGe2
Source: Alexandria
Functional: PBE
Structure: relaxed

a = 4.701 Å, b = 4.701 Å, c = 8.143 Å
α = 90.00°, β = 90.00°, γ = 120.00°
Atoms (fractional coordinates):
Pr: 0.000 0.000 0.500
Ba: 0.000 0.000 0.000
Li: 0.333 0.667 0.690
Li: 0.667 0.333 0.310
Ge: 0.333 0.667 0.299
Ge: 0.667 0.333 0.701

ΔH_f (0 K) in meV/atom: -545.8
Total energy in eV/atom: -3.8399
Magnetization in μB per formula unit: 0.000
D(E_F) in states/eV per cell: 3.2
SG: P-3m1 (164)

11.
Compound: BaLiGe2Pt
Source: Alexandria
Functional: PBE
Structure: relaxed

a = 4.520 Å, b = 4.520 Å, c = 6.205 Å
α = 111.36°, β = 111.36°, γ = 90.00°
Atoms (fractional coordinates):
Ge: 0.372 0.372 0.743
Ge: 0.628 0.628 0.257
Li: 0.750 0.250 0.500
Ba: 0.000 0.000 0.000
Pt: 0.250 0.750 0.500

ΔH_f (0 K) in meV/atom: -592.9
Total energy in eV/atom: -4.4153
Magnetization in μB per formula unit: 0.000
D(E_F) in states/eV per cell: 3.5
SG: I-4m2 (119)

12.
Compound: Ba2LiGeRh
Source: Alexandria
Functional: PBE
Structure: relaxed

a = 6.141 Å, b = 6.141 Å, c = 4.780 Å
α = 90.00°, β = 90.00°, γ = 90.00°
Atoms (fractional coordinates):
Ba: 0.500 0.000 0.000
Ba: 0.000 0.500 0.000
Li: 0.500 0.500 0.500
Ge: 0.000 0.000 0.500
Rh: 0.000 0.000 0.000

ΔH_f (0 K) in meV/atom: -233.6
Total energy in eV/atom: -3.7792
Magnetization in μB per formula unit: 0.005
D(E_F) in states/eV per cell: 4.9
SG: P4/mmm (123)

13.
Compound: BaLiGeRh
Source: Alexandria
Functional: PBE
Structure: relaxed

a = 4.203 Å, b = 4.203 Å, c = 12.534 Å
α = 90.00°, β = 90.00°, γ = 90.00°
Atoms (fractional coordinates):
Rh: 0.250 0.750 0.000
Rh: 0.750 0.250 0.000
Ba: 0.250 0.250 0.766
Ba: 0.750 0.750 0.234
Ge: 0.750 0.750 0.896
Ge: 0.250 0.250 0.104
Li: 0.750 0.250 0.500
Li: 0.250 0.750 0.500

ΔH_f (0 K) in meV/atom: -469.8
Total energy in eV/atom: -4.4212
Magnetization in μB per formula unit: 0.000
D(E_F) in states/eV per cell: 5.3
SG: P4/nmm (129)

14.
Compound: BaLi2GeRh
Source: Alexandria
Functional: PBE
Structure: relaxed

a = 4.874 Å, b = 4.874 Å, c = 4.842 Å
α = 90.00°, β = 90.00°, γ = 90.00°
Atoms (fractional coordinates):
Li: 0.500 0.000 0.000
Li: 0.000 0.500 0.000
Ge: 0.000 0.000 0.000
Rh: 0.000 0.000 0.500
Ba: 0.500 0.500 0.500

ΔH_f (0 K) in meV/atom: -248.7
Total energy in eV/atom: -3.7926
Magnetization in μB per formula unit: 0.000
D(E_F) in states/eV per cell: 2.2
SG: P4/mmm (123)

15.
Compound: BaLi2GeRh2
Source: Alexandria
Functional: PBE
Structure: relaxed

a = 4.670 Å, b = 4.670 Å, c = 6.482 Å
α = 90.00°, β = 90.00°, γ = 90.00°
Atoms (fractional coordinates):
Li: 0.500 0.500 0.204
Li: 0.500 0.500 0.796
Rh: 0.500 0.000 0.000
Rh: 0.000 0.500 0.000
Ge: 0.000 0.000 0.000
Ba: 0.000 0.000 0.500

ΔH_f (0 K) in meV/atom: -240.4
Total energy in eV/atom: -4.4189
Magnetization in μB per formula unit: 0.009
D(E_F) in states/eV per cell: 4.4
SG: P4/mmm (123)

16.
Compound: BaLiGe2Rh
Source: Alexandria
Functional: PBE
Structure: relaxed

a = 4.334 Å, b = 4.334 Å, c = 6.584 Å
α = 109.22°, β = 109.22°, γ = 90.00°
Atoms (fractional coordinates):
Ba: 0.000 0.000 0.000
Rh: 0.250 0.750 0.500
Ge: 0.356 0.356 0.713
Ge: 0.644 0.644 0.287
Li: 0.750 0.250 0.500

ΔH_f (0 K) in meV/atom: -496.8
Total energy in eV/atom: -4.5813
Magnetization in μB per formula unit: 0.000
D(E_F) in states/eV per cell: 2.6
SG: I-4m2 (119)

17.
Compound: BaLi2GeRh
Source: Alexandria
Functional: PBE
Structure: relaxed

a = 4.959 Å, b = 4.959 Å, c = 4.751 Å
α = 90.00°, β = 90.00°, γ = 90.00°
Atoms (fractional coordinates):
Li: 0.500 0.000 0.000
Li: 0.000 0.500 0.000
Ge: 0.000 0.000 0.500
Ba: 0.500 0.500 0.500
Rh: 0.000 0.000 0.000

ΔH_f (0 K) in meV/atom: -346.4
Total energy in eV/atom: -3.8902
Magnetization in μB per formula unit: 0.000
D(E_F) in states/eV per cell: 2.2
SG: P4/mmm (123)

18.
Compound: BaLi2GeRu
Source: Alexandria
Functional: PBE
Structure: relaxed

a = 4.958 Å, b = 4.958 Å, c = 4.775 Å
α = 90.00°, β = 90.00°, γ = 90.00°
Atoms (fractional coordinates):
Ru: 0.000 0.000 0.000
Li: 0.500 0.000 0.000
Li: 0.000 0.500 0.000
Ge: 0.000 0.000 0.500
Ba: 0.500 0.500 0.500

ΔH_f (0 K) in meV/atom: -86.9
Total energy in eV/atom: -4.0156
Magnetization in μB per formula unit: 0.000
D(E_F) in states/eV per cell: 3.9
SG: P4/mmm (123)

19.
Compound: Ba3LiGe2S6
Source: Alexandria
Functional: PBE
Structure: relaxed

a = 7.171 Å, b = 7.171 Å, c = 7.647 Å
α = 90.00°, β = 90.00°, γ = 120.00°
Atoms (fractional coordinates):
S: 0.658 0.829 0.299
S: 0.171 0.829 0.299
S: 0.342 0.171 0.701
S: 0.171 0.342 0.299
S: 0.829 0.171 0.701
S: 0.829 0.658 0.701
Ba: 0.000 0.000 0.000
Ba: 0.333 0.667 0.632
Ba: 0.667 0.333 0.368
Ge: 0.667 0.333 0.844
Ge: 0.333 0.667 0.156
Li: 0.000 0.000 0.500

Total energy in eV/atom: -4.7171
Magnetization in μB per formula unit: 0.006
D(E_F) in states/eV per cell: 5.9
Formation energy without anion corrections in kJ/mol of atoms: -120.0
SG: P-3m1 (164)

20.
Compound: Ba2LiGe2S6
Source: Alexandria
Functional: PBE
Structure: relaxed

a = 6.942 Å, b = 6.936 Å, c = 7.859 Å
α = 114.64°, β = 90.00°, γ = 120.03°
Atoms (fractional coordinates):
Ge: 0.967 0.934 0.814
Ge: 0.033 0.066 0.186
S: 0.760 0.520 0.650
S: 0.209 0.883 0.204
S: 0.791 0.117 0.796
S: 0.675 0.883 0.204
S: 0.325 0.117 0.796
S: 0.240 0.480 0.350
Ba: 0.287 0.574 0.788
Ba: 0.713 0.426 0.212
Li: 0.500 0.000 0.500

Total energy in eV/atom: -4.7046
Magnetization in μB per formula unit: 0.000
D(E_F) in states/eV per cell: 4.0
Formation energy without anion corrections in kJ/mol of atoms: -105.2
SG: C2/m (12)